(1)
! K3Tm2PuTe6 | Alexandria via LeMat-Bulk | PBE | optimized geometry; values from VASP
&SYSTEM
  ibrav = 0, nat = 12, ntyp = 4
/
ATOMIC_SPECIES
K 39.10 K.upf
Tm 168.93 Tm.upf
Pu 244.00 Pu.upf
Te 127.60 Te.upf
CELL_PARAMETERS angstrom
7.800 -0.002 0.000
-3.899 6.755 0.000
-1.301 -2.253 8.209
ATOMIC_POSITIONS angstrom
K -2.624 4.516 4.104
K 5.223 -0.015 4.104
K 1.300 2.250 4.104
Tm -0.002 4.504 0.000
Tm 3.902 2.249 0.000
Pu 0.000 0.000 0.000
Te 3.927 2.200 6.508
Te 2.572 4.453 1.697
Te -1.328 2.301 1.701
Te -0.057 4.501 6.508
Te 0.028 0.048 6.512
Te 2.657 0.000 1.701
! Space group: C2/m, No. 12

***

(2)
! K4Tm3PuTe8 | Alexandria via LeMat-Bulk | PBE | optimized geometry; values from VASP
&SYSTEM
  ibrav = 0, nat = 16, ntyp = 4
/
ATOMIC_SPECIES
K 39.10 K.upf
Tm 168.93 Tm.upf
Pu 244.00 Pu.upf
Te 127.60 Te.upf
CELL_PARAMETERS angstrom
-3.416 -1.241 -8.206
6.331 -7.211 -1.545
-5.308 -0.621 7.211
ATOMIC_POSITIONS angstrom
K -1.708 -0.620 -4.103
K -4.362 -0.931 -0.497
K 0.000 0.000 0.000
K -2.654 -0.310 3.605
Tm 1.458 -4.226 -4.875
Tm -1.196 -4.536 -1.270
Tm 0.512 -3.916 2.833
Pu 3.166 -3.605 -0.773
Te -1.478 -5.996 3.926
Te 1.122 -5.692 0.394
Te -1.851 -2.779 1.191
Te -3.152 -6.604 -0.094
Te 0.759 -2.468 -2.446
Te -0.541 -6.293 -3.731
Te -3.514 -3.380 -2.934
Te -0.914 -3.076 -6.466
! Space group: R-3m, No. 166

***

Formation energy without anion corrections, record by record: -1272, -1298 meV per atom
V, record by record: 36.040, 35.854 A^3/atom